# 1
An optimized crystal structure of LaAg, computed with PBEsol.

```
data_LaAg
_cell_length_a 5.046
_cell_length_b 5.046
_cell_length_c 5.046
_cell_angle_alpha 60.00
_cell_angle_beta 60.00
_cell_angle_gamma 60.00
_symmetry_space_group_name_H-M 'P 1'
_symmetry_Int_Tables_number 1
loop_
_symmetry_equiv_pos_as_xyz
'x,y,z'
loop_
_atom_site_label
_atom_site_type_symbol
_atom_site_fract_x
_atom_site_fract_y
_atom_site_fract_z
La1 La 0.750 0.750 0.750
La2 La 0.500 0.500 0.500
Ag1 Ag 0.250 0.250 0.250
Ag2 Ag 0.000 0.000 0.000
```

Properties
V	22.71	Å³ per atom
total energy	-4.55	eV per atom
M_tot	0.00	μB per formula unit
Fermi-level density of states	0.361	states/eV/f.u.
ρ	9023	kg/m3
ΔE_f	-0.220	eV per atom

***

# 2
An optimized crystal structure of LaAg, computed with PBEsol.

```
data_LaAg
_cell_length_a 3.850
_cell_length_b 4.839
_cell_length_c 6.239
_cell_angle_alpha 112.82
_cell_angle_beta 107.97
_cell_angle_gamma 90.00
_symmetry_space_group_name_H-M 'P 1'
_symmetry_Int_Tables_number 1
loop_
_symmetry_equiv_pos_as_xyz
'x,y,z'
loop_
_atom_site_label
_atom_site_type_symbol
_atom_site_fract_x
_atom_site_fract_y
_atom_site_fract_z
Ag1 Ag 0.843 0.593 0.687
Ag2 Ag 0.157 0.407 0.313
La1 La 0.399 0.149 0.798
La2 La 0.601 0.851 0.202
```

Properties
V	25.24	Å³ per atom
total energy	-4.49	eV per atom
M_tot	0.00	μB per formula unit
Fermi-level density of states	2.270	states/eV/f.u.
ρ	8117	kg/m3
ΔE_f	-0.160	eV per atom

***

# 3
An optimized crystal structure of LaAg, computed with PBEsol.

```
data_LaAg
_cell_length_a 3.716
_cell_length_b 3.716
_cell_length_c 3.807
_cell_angle_alpha 90.00
_cell_angle_beta 90.00
_cell_angle_gamma 90.00
_symmetry_space_group_name_H-M 'P 1'
_symmetry_Int_Tables_number 1
loop_
_symmetry_equiv_pos_as_xyz
'x,y,z'
loop_
_atom_site_label
_atom_site_type_symbol
_atom_site_fract_x
_atom_site_fract_y
_atom_site_fract_z
Ag1 Ag 0.000 0.000 0.000
La1 La 0.500 0.500 0.500
```

Properties
V	26.29	Å³ per atom
total energy	-4.55	eV per atom
M_tot	0.00	μB per formula unit
Fermi-level density of states	2.120	states/eV/f.u.
ρ	7794	kg/m3
ΔE_f	-0.221	eV per atom

***

# 4
An optimized crystal structure of LaAg3, computed with PBEsol.

```
data_LaAg3
_cell_length_a 3.071
_cell_length_b 3.071
_cell_length_c 9.894
_cell_angle_alpha 90.00
_cell_angle_beta 90.00
_cell_angle_gamma 120.00
_symmetry_space_group_name_H-M 'P 1'
_symmetry_Int_Tables_number 1
loop_
_symmetry_equiv_pos_as_xyz
'x,y,z'
loop_
_atom_site_label
_atom_site_type_symbol
_atom_site_fract_x
_atom_site_fract_y
_atom_site_fract_z
Ag1 Ag 0.333 0.667 0.225
Ag2 Ag 0.333 0.667 0.775
Ag3 Ag 0.000 0.000 0.000
La1 La 0.000 0.000 0.500
```

Properties
V	20.20	Å³ per atom
total energy	-3.72	eV per atom
M_tot	0.00	μB per formula unit
Fermi-level density of states	1.900	states/eV/f.u.
ρ	9503	kg/m3
ΔE_f	0.104	eV per atom

***

# 5
An optimized crystal structure of LaAg, computed with PBEsol.

```
data_LaAg
_cell_length_a 6.525
_cell_length_b 9.011
_cell_length_c 10.881
_cell_angle_alpha 90.00
_cell_angle_beta 90.00
_cell_angle_gamma 90.00
_symmetry_space_group_name_H-M 'P 1'
_symmetry_Int_Tables_number 1
loop_
_symmetry_equiv_pos_as_xyz
'x,y,z'
loop_
_atom_site_label
_atom_site_type_symbol
_atom_site_fract_x
_atom_site_fract_y
_atom_site_fract_z
La1 La 0.250 0.029 0.873
La2 La 0.750 0.857 0.694
La3 La 0.750 0.471 0.873
La4 La 0.250 0.143 0.306
La5 La 0.750 0.357 0.306
La6 La 0.000 0.750 0.388
La7 La 0.500 0.750 0.388
La8 La 0.000 0.250 0.612
La9 La 0.750 0.971 0.127
La10 La 0.250 0.643 0.694
La11 La 0.500 0.250 0.612
La12 La 0.250 0.529 0.127
Ag1 Ag 0.000 0.250 0.055
Ag2 Ag 0.000 0.750 0.945
Ag3 Ag 0.250 0.869 0.139
Ag4 Ag 0.250 0.457 0.427
Ag5 Ag 0.500 0.750 0.945
Ag6 Ag 0.250 0.957 0.573
Ag7 Ag 0.750 0.131 0.861
Ag8 Ag 0.750 0.543 0.573
Ag9 Ag 0.500 0.250 0.055
Ag10 Ag 0.750 0.043 0.427
Ag11 Ag 0.250 0.369 0.861
Ag12 Ag 0.750 0.631 0.139
```

Properties
V	26.66	Å³ per atom
total energy	-4.49	eV per atom
M_tot	0.00	μB per formula unit
Fermi-level density of states	2.406	states/eV/f.u.
ρ	7687	kg/m3
ΔE_f	-0.157	eV per atom

***

# 6
An optimized crystal structure of LiLaAg, computed with PBEsol.

```
data_LiLaAg
_cell_length_a 3.561
_cell_length_b 4.758
_cell_length_c 4.758
_cell_angle_alpha 120.00
_cell_angle_beta 90.00
_cell_angle_gamma 90.00
_symmetry_space_group_name_H-M 'P 1'
_symmetry_Int_Tables_number 1
loop_
_symmetry_equiv_pos_as_xyz
'x,y,z'
loop_
_atom_site_label
_atom_site_type_symbol
_atom_site_fract_x
_atom_site_fract_y
_atom_site_fract_z
Ag1 Ag 0.500 0.000 0.000
La1 La 0.000 0.333 0.667
Li1 Li 0.500 0.667 0.333
```

Properties
V	23.27	Å³ per atom
total energy	-3.65	eV per atom
M_tot	0.13	μB per formula unit
Fermi-level density of states	3.165	states/eV/f.u.
ρ	6034	kg/m3
ΔE_f	-0.105	eV per atom